1.
First-principles (GGA-PBE) data for a relaxed Ag2SbBr crystal, as listed in Alexandria.

Values from the calculation:
Energy relative to the elements, uncorrected: -0.013 eV/atom
DFT total energy: -2.8872 eV/atom

a b c (Å): 3.753 3.536 7.534
angles (deg): 90.00 90.11 90.00
Fractional coordinates of all 4 atoms:
Ag 0.001 0.000 0.208
Ag 0.999 0.000 0.792
Sb 0.500 0.500 0.000
Br 0.000 0.500 0.500


2.
First-principles (GGA-PBE) data for a relaxed AgSbBr2 crystal, as listed in Alexandria.

Values from the calculation:
Energy relative to the elements, uncorrected: -0.015 eV/atom
DFT total energy: -2.5949 eV/atom

a b c (Å): 9.162 9.162 9.162
angles (deg): 23.11 23.11 23.11
Fractional coordinates of all 4 atoms:
Ag 0.000 0.000 0.000
Sb 0.500 0.500 0.500
Br 0.262 0.262 0.262
Br 0.738 0.738 0.738


3.
First-principles (GGA-PBE) data for a relaxed Ag2Sb2Br crystal, as listed in Alexandria.

Values from the calculation:
Energy relative to the elements, uncorrected: 0.153 eV/atom
DFT total energy: -2.9715 eV/atom

a b c (Å): 6.439 6.439 6.439
angles (deg): 133.93 133.93 67.19
Fractional coordinates of all 5 atoms:
Ag 0.250 0.750 0.500
Ag 0.750 0.250 0.500
Sb 0.132 0.132 0.000
Sb 0.868 0.868 0.000
Br 0.500 0.500 0.000


4.
First-principles (GGA-PBE) data for a relaxed AgSbBr2 crystal, as listed in Alexandria.

Values from the calculation:
Energy relative to the elements, uncorrected: -0.165 eV/atom
DFT total energy: -2.7453 eV/atom

a b c (Å): 5.373 3.865 6.095
angles (deg): 90.00 110.97 90.00
Fractional coordinates of all 4 atoms:
Ag 0.000 0.000 0.000
Sb 0.370 0.500 0.254
Br 0.564 0.500 0.913
Br 0.851 0.000 0.510


5.
First-principles (GGA-PBE) data for a relaxed Ag2SbBr8 crystal, as listed in Alexandria.

Values from the calculation:
Energy relative to the elements, uncorrected: -0.227 eV/atom
DFT total energy: -2.3366 eV/atom

a b c (Å): 7.786 7.786 6.559
angles (deg): 90.00 90.00 120.00
Fractional coordinates of all 11 atoms:
Ag 0.333 0.667 0.011
Ag 0.667 0.333 0.989
Sb 0.000 0.000 0.000
Br 0.160 0.319 0.238
Br 0.160 0.840 0.238
Br 0.319 0.160 0.762
Br 0.333 0.667 0.622
Br 0.667 0.333 0.378
Br 0.681 0.840 0.238
Br 0.840 0.160 0.762
Br 0.840 0.681 0.762


6.
First-principles (GGA-PBE) data for a relaxed AgSbBr2 crystal, as listed in Alexandria.

Values from the calculation:
Energy relative to the elements, uncorrected: 0.290 eV/atom
DFT total energy: -2.2896 eV/atom

a b c (Å): 5.215 5.215 5.215
angles (deg): 60.00 60.00 60.00
Fractional coordinates of all 4 atoms:
Ag 0.000 0.000 0.000
Sb 0.250 0.250 0.250
Br 0.500 0.500 0.500
Br 0.750 0.750 0.750


Number 1: volume 25.0 Å³/atom, distance to the lowest polymorph of the same formula 40 meV per atom. Number 2: volume 26.0 Å³/atom, distance to the lowest polymorph of the same formula 216 meV per atom. Number 3: volume 27.2 Å³/atom, distance to the lowest polymorph of the same formula 38 meV per atom. Number 4: volume 29.5 Å³/atom, distance to the lowest polymorph of the same formula 66 meV per atom. Number 5: volume 31.3 Å³/atom, distance to the lowest polymorph of the same formula 9 meV per atom. Number 6: volume 25.1 Å³/atom, distance to the lowest polymorph of the same formula 522 meV per atom.